Zr3Mo | PBE | optimized geometry

Cell and atoms, written as extended XYZ:
```
8
Lattice="-2.039 2.039 10.019 2.039 -2.039 10.019 2.039 2.039 -10.019" Properties=species:S:1:pos:R:3 pbc="T T T"
Zr 0.000 2.039 0.000
Zr 2.039 0.000 0.000
Zr 0.000 2.039 5.010
Zr 2.039 0.000 5.010
Zr 0.000 0.000 2.532
Zr 0.000 0.000 17.506
Mo 0.000 0.000 7.591
Mo 0.000 0.000 12.447
```

Calculated values
The calculation puts the total magnetization at 0.00 μB/cell. For the formation energy, the calculation gives 0.702 eV per formula unit. The density of states at the Fermi level is 1.40 states/eV per atom. As for the energy above the most stable polymorph in this dataset: 182.7 meV per atom. As for the crystal system: tetragonal. Its total energy is -71.547 eV/cell.

---

Zr3Mo2 | PBE | optimized geometry

Cell and atoms, written as extended XYZ:
```
5
Lattice="10.913 -1.637 -0.003 10.913 1.637 -0.003 10.668 0.000 2.821" Properties=species:S:1:pos:R:3 pbc="T T T"
Zr 0.000 0.000 0.000
Zr 25.771 0.000 2.232
Zr 6.722 0.000 0.582
Mo 19.545 0.000 1.693
Mo 12.948 0.000 1.122
```

Calculated values
The calculation puts the total magnetization at 0.00 μB/cell. For the formation energy, the calculation gives 1.278 eV per formula unit. The density of states at the Fermi level is 1.80 states/eV per atom. As for the energy above the most stable polymorph in this dataset: 88.7 meV per atom. As for the crystal system: trigonal. Its total energy is -46.029 eV/cell.

---

Zr3Mo | PBE | optimized geometry

Cell and atoms, written as extended XYZ:
```
8
Lattice="-2.011 -1.761 -4.210 -1.353 -4.935 2.710 -5.119 2.233 1.511" Properties=species:S:1:pos:R:3 pbc="T T T"
Zr -1.856 -3.983 -0.401
Zr -2.471 -3.658 2.710
Zr -2.447 -1.041 -1.349
Zr -3.062 -0.716 1.762
Zr -4.967 -2.569 3.448
Zr -5.069 0.103 -0.575
Mo -0.496 -1.811 0.994
Mo -4.421 -2.888 0.367
```

Calculated values
The calculation puts the total magnetization at 0.00 μB/cell. For the formation energy, the calculation gives 0.696 eV per formula unit. The density of states at the Fermi level is 1.25 states/eV per atom. As for the energy above the most stable polymorph in this dataset: 181.0 meV per atom. As for the crystal system: orthorhombic. Its total energy is -71.560 eV/cell.

---

Zr5Mo | PBE | optimized geometry

Cell and atoms, written as extended XYZ:
```
6
Lattice="11.752 0.000 0.000 0.000 3.331 0.000 0.000 0.000 3.331" Properties=species:S:1:pos:R:3 pbc="T T T"
Mo 9.794 1.666 1.666
Zr 11.418 0.000 0.000
Zr 1.791 1.666 1.666
Zr 3.917 0.000 0.000
Zr 6.044 1.666 1.666
Zr 8.169 0.000 0.000
```

Calculated values
The calculation puts the total magnetization at 0.00 μB/cell. For the formation energy, the calculation gives 0.190 eV per formula unit. The density of states at the Fermi level is 1.55 states/eV per atom. As for the energy above the most stable polymorph in this dataset: 30.6 meV per atom. As for the crystal system: tetragonal. Its total energy is -53.382 eV/cell.

---

Zr7Mo | PBE | optimized geometry

Cell and atoms, written as extended XYZ:
```
8
Lattice="2.785 1.886 5.327 -2.227 -1.923 5.570 3.291 -4.110 3.459" Properties=species:S:1:pos:R:3 pbc="T T T"
Zr 1.646 -2.055 1.730
Zr 3.038 -1.112 4.393
Zr 0.532 -3.016 4.515
Zr 0.279 -0.019 5.449
Zr -1.113 -0.962 2.785
Zr 1.393 0.943 2.663
Zr 1.925 -2.074 7.178
Mo 0.000 0.000 0.000
```

Calculated values
The calculation puts the total magnetization at 0.00 μB/cell. For the formation energy, the calculation gives 1.198 eV per formula unit. The density of states at the Fermi level is 1.42 states/eV per atom. As for the crystal system: cubic. Its total energy is -69.470 eV/cell.

---

Zr5Mo | PBE | optimized geometry

Cell and atoms, written as extended XYZ:
```
6
Lattice="0.455 1.240 5.547 -4.157 -1.496 3.606 0.877 -4.168 3.791" Properties=species:S:1:pos:R:3 pbc="T T T"
Zr -1.059 -1.658 4.852
Zr -2.118 -3.318 9.708
Zr -3.140 -2.407 6.657
Zr -0.619 -3.746 6.750
Zr -0.831 -1.037 7.630
Mo 0.000 0.000 0.000
```

Calculated values
The calculation puts the total magnetization at 0.00 μB/cell. For the formation energy, the calculation gives 2.881 eV per formula unit. The density of states at the Fermi level is 1.82 states/eV per atom. As for the energy above the most stable polymorph in this dataset: 479.2 meV per atom. As for the crystal system: cubic. Its total energy is -50.691 eV/cell.

---

Zr3Mo | PBE | optimized geometry

Cell and atoms, written as extended XYZ:
```
4
Lattice="-1.301 -1.219 -2.579 4.129 -1.787 -1.239 -1.752 -5.288 1.789" Properties=species:S:1:pos:R:3 pbc="T T T"
Mo 0.000 0.000 0.000
Zr -0.347 -5.950 -1.363
Zr -1.526 -3.254 -0.395
Zr 1.423 -2.344 -0.666
```

Calculated values
The calculation puts the total magnetization at 0.00 μB/cell. For the formation energy, the calculation gives 0.228 eV per formula unit. The density of states at the Fermi level is 1.21 states/eV per atom. As for the energy above the most stable polymorph in this dataset: 64.2 meV per atom. As for the crystal system: monoclinic. Its total energy is -36.247 eV/cell.

---

Zr3Mo2 | PBE | optimized geometry

Cell and atoms, written as extended XYZ:
```
10
Lattice="0.000 5.054 6.993 2.797 0.000 6.993 2.797 5.054 0.000" Properties=species:S:1:pos:R:3 pbc="T T T"
Zr 2.797 5.054 5.507
Zr 2.797 5.054 8.478
Zr 4.195 7.582 11.975
Zr 4.195 7.582 9.003
Zr 0.000 0.000 0.000
Zr 1.398 2.527 3.496
Mo 1.398 2.527 6.333
Mo 1.398 2.527 0.659
Mo 2.797 5.054 11.148
Mo 2.797 5.054 2.837
```

Calculated values
The calculation puts the total magnetization at 0.00 μB/cell. For the formation energy, the calculation gives 0.834 eV per formula unit. The density of states at the Fermi level is 1.17 states/eV per atom. As for the energy above the most stable polymorph in this dataset: 0.0 meV per atom. As for the crystal system: orthorhombic. Its total energy is -92.945 eV/cell.

---

Zr4Mo5 | PBE | optimized geometry

Cell and atoms, written as extended XYZ:
```
9
Lattice="-1.317 -2.041 -6.874 1.395 -1.260 7.044 -7.008 1.554 1.278" Properties=species:S:1:pos:R:3 pbc="T T T"
Zr -3.853 0.202 5.714
Zr -1.759 0.092 2.608
Zr -2.609 -0.152 -1.754
Zr -5.715 -0.334 -3.842
Mo 0.000 0.000 0.000
Mo 0.487 -1.522 2.383
Mo -0.408 -1.779 -2.213
Mo -4.667 -0.064 0.913
Mo -2.262 -1.682 0.535
```

Calculated values
The calculation puts the total magnetization at 0.00 μB/cell. For the formation energy, the calculation gives 0.460 eV per formula unit. The density of states at the Fermi level is 1.17 states/eV per atom. As for the energy above the most stable polymorph in this dataset: 0.0 meV per atom. As for the crystal system: tetragonal. Its total energy is -87.888 eV/cell.

---

Zr5Mo4 | PBE | optimized geometry

Cell and atoms, written as extended XYZ:
```
18
Lattice="-8.273 -0.638 -0.011 -3.844 -4.211 6.029 -0.387 4.955 3.214" Properties=species:S:1:pos:R:3 pbc="T T T"
Mo 0.000 0.000 0.000
Mo -0.193 2.478 1.607
Mo -6.694 -0.751 3.078
Mo -2.486 -1.378 4.551
Mo -3.228 0.997 0.799
Mo -5.811 0.858 6.154
Mo -1.745 2.123 4.692
Mo -5.432 3.320 2.404
Zr -5.185 -1.968 5.136
Zr -1.177 0.056 2.497
Zr -6.046 0.780 0.796
Zr -7.319 2.075 4.096
Zr -3.054 0.689 6.746
Zr -2.614 3.537 2.408
Zr -4.039 -1.616 2.006
Zr -8.272 -0.755 5.619
Zr -8.079 -3.233 4.012
Zr -4.233 0.861 3.613
```

Calculated values
The calculation puts the total magnetization at 0.00 μB/cell. For the formation energy, the calculation gives 1.720 eV per formula unit. The density of states at the Fermi level is 1.03 states/eV per atom. As for the energy above the most stable polymorph in this dataset: 94.6 meV per atom. As for the crystal system: hexagonal. Its total energy is -168.691 eV/cell.

---

Zr4Mo | PBE | optimized geometry

Cell and atoms, written as extended XYZ:
```
10
Lattice="0.000 4.982 4.982 4.982 0.000 4.982 4.982 4.982 0.000" Properties=species:S:1:pos:R:3 pbc="T T T"
Zr 8.905 8.905 8.905
Zr 8.905 6.041 6.041
Zr 6.041 6.041 8.905
Zr 3.550 6.414 6.414
Zr 3.550 3.550 3.550
Zr 6.041 8.905 6.041
Zr 6.414 6.414 3.550
Zr 6.414 3.550 6.414
Mo 4.982 4.982 4.982
Mo 7.473 7.473 7.473
```

Calculated values
The calculation puts the total magnetization at 0.00 μB/cell. For the formation energy, the calculation gives 4.537 eV per formula unit. The density of states at the Fermi level is 1.64 states/eV per atom. As for the energy above the most stable polymorph in this dataset: 242.9 meV per atom. As for the crystal system: cubic. Its total energy is -80.973 eV/cell.

---

ZrMo5 | PBE | optimized geometry

Cell and atoms, written as extended XYZ:
```
6
Lattice="3.210 0.000 0.000 1.605 5.100 -0.004 0.000 2.046 6.106" Properties=species:S:1:pos:R:3 pbc="T T T"
Mo 3.210 2.172 5.733
Mo 3.210 5.313 4.689
Mo 1.605 3.234 3.730
Mo 3.210 1.155 2.771
Mo 3.210 4.296 1.727
Zr 1.605 2.211 0.677
```

Calculated values
The calculation puts the total magnetization at 0.00 μB/cell. For the formation energy, the calculation gives -0.236 eV per formula unit. The density of states at the Fermi level is 0.48 states/eV per atom. As for the energy above the most stable polymorph in this dataset: 0.0 meV per atom. As for the crystal system: monoclinic. Its total energy is -62.939 eV/cell.